# 1
Compound: BeRe2As
Source: the Alexandria database
Functional: PBE
Structure: relaxed

Structure (POSCAR):
```
BeRe2As
1.0
-0.4633 2.9235 0.6970
0.3507 -0.6478 2.9504
5.6127 0.9963 -0.4484
Re As Be
2 1 1
direct
0.0000 0.0000 0.9588
0.5000 0.5000 0.2621
0.0000 0.0000 0.5165
0.5000 0.5000 0.7626
```

The energy of formation from the pure elements comes out at -0.038 eV per atom. The value obtained for the relative energy among the computed polymorphs is 0.0000 eV per atom.

# 2
Compound: NaTi2NiS4
Source: the Alexandria database
Functional: PBE
Structure: relaxed

Structure (POSCAR):
```
NaTi2NiS4
1.0
6.6576 -0.7483 -1.0785
-3.8615 5.4747 1.0785
-3.8615 -0.9058 5.5059
Na Ti Ni S
1 2 1 4
direct
0.0000 0.0000 0.0000
0.5000 0.7500 0.2500
0.5000 0.2500 0.7500
0.0000 0.5000 0.5000
0.0000 0.1504 0.5803
0.5701 0.4197 0.4197
0.4299 0.8496 0.8496
0.0000 0.5803 0.1504
```

The raw total energy is -5.8851 eV/atom.

# 3
Compound: ScCr2Cl
Source: the Alexandria database
Functional: PBE
Structure: relaxed

Structure (POSCAR):
```
ScCr2Cl
1.0
3.1142 0.0000 0.0000
0.0000 3.1142 0.0000
0.0000 0.0000 7.8716
Cl Cr Sc
1 2 1
direct
0.5000 0.5000 0.7500
0.0000 0.0000 0.9874
0.0000 0.0000 0.5126
0.5000 0.5000 0.2500
```

The value obtained for the relative energy among the computed polymorphs is 0.5253 eV per atom.

# 4
Compound: Ba2NaNpS4
Source: the Alexandria database
Functional: PBE
Structure: relaxed

Structure (POSCAR):
```
Ba2NaNpS4
1.0
4.3164 0.0000 0.0000
0.0000 7.4335 -0.1704
0.0000 2.5837 6.9566
Ba Na Np S
2 1 1 4
direct
0.0000 0.0000 0.0000
0.5000 0.0000 0.5000
0.5000 0.5000 0.0000
0.0000 0.5000 0.5000
0.0000 0.7223 0.7400
0.0000 0.2777 0.2600
0.5000 0.7158 0.2731
0.5000 0.2842 0.7269
```

The raw total energy is -5.9460 eV/atom.

Calculated M_tot, 0.00; 1.03; 7.69; 4.00 μB per formula unit (same order as the records).